VASP calculation (PBE) on an optimized crystal structure of CdAs2Rh.

Energy: -4.4076 eV per atom
Mass density: 8.0 Mg/m³
Crystal system: trigonal

a b c (Å): 8.351 8.351 8.351
angles (deg): 22.67 22.67 22.67
Atoms (fractional coordinates):
Cd1 0.000 0.000 0.000
As1 0.517 0.517 0.517
As2 0.763 0.763 0.763
Rh1 0.245 0.245 0.245

VASP calculation (PBE) on an optimized crystal structure of Ca2TlS.

Formation energy (no corrections): -0.9089 eV per atom
Mass density: 4.2 Mg/m³
Energy relative to the lowest polymorph listed for this composition: 0.0032 eV per atom
Crystal system: tetragonal

a b c (Å): 6.858 6.858 6.858
angles (deg): 109.91 109.91 108.60
Atoms (fractional coordinates):
Ca1 0.072 0.625 0.947
Ca2 0.375 0.322 0.447
Ca3 0.678 0.125 0.053
Ca4 0.875 0.928 0.553
Tl1 0.250 0.750 0.500
Tl2 0.500 0.500 0.000
S1 0.000 0.000 0.000
S2 0.750 0.250 0.500

VASP calculation (PBE) on an optimized crystal structure of CaCeGe2.

Energy: -4.9539 eV per atom
Mass density: 5.4 Mg/m³
Crystal system: orthorhombic

a b c (Å): 4.038 5.919 5.919
angles (deg): 44.59 90.00 90.00
Atoms (fractional coordinates):
Ca1 0.000 0.000 0.000
Ce1 0.500 0.276 0.276
Ge1 0.000 0.718 0.718
Ge2 0.500 0.560 0.560

- Look up the mass density of the first one.
  8.0 Mg/m³

- Which formula does entry 1 have?
  CdAs2Rh

- Among the records above, which one has the highest mass density?
  CdAs2Rh